A relaxed structure of Li2ErCu4. Source: Alexandria, functional GGA-PBE.

Cell: 4.736 5.269 5.269 Å, 77.96 63.20 63.20°
Atoms (fractional coordinates):
1 Li 0.750 0.500 0.500
2 Li 0.249 0.500 0.500
3 Er 0.000 0.000 0.000
4 Cu 0.691 0.619 0.000
5 Cu 0.309 0.381 0.000
6 Cu 0.691 0.000 0.619
7 Cu 0.309 0.000 0.381

Total DFT energy (no corrections) ... -0.2712 Ry per atom
Spin magnetization ... 0.00 μB/f.u.
Calculated density ... 6.90 Mg/m³
Fermi-level density of states ... 0.4761 states/eV per atom

A relaxed structure of LiEr2Cu9. Source: Alexandria, functional GGA-PBE.

Cell: 5.078 5.078 8.714 Å, 73.06 73.06 60.00°
Atoms (fractional coordinates):
1 Li 0.000 0.000 0.000
2 Er 0.863 0.863 0.411
3 Er 0.137 0.137 0.589
4 Cu 0.667 0.667 0.999
5 Cu 0.333 0.333 0.001
6 Cu 0.500 0.500 0.500
7 Cu 0.417 0.417 0.246
8 Cu 0.920 0.417 0.246
9 Cu 0.417 0.920 0.246
10 Cu 0.583 0.583 0.754
11 Cu 0.583 0.080 0.754
12 Cu 0.080 0.583 0.754

Total DFT energy (no corrections) ... -0.3020 Ry per atom
Spin magnetization ... 0.00 μB/f.u.
Calculated density ... 8.28 Mg/m³
Fermi-level density of states ... 0.4799 states/eV per atom

A relaxed structure of LiErLuCu. Source: Alexandria, functional GGA-PBE.

Cell: 4.940 4.940 4.940 Å, 60.00 60.00 60.00°
Atoms (fractional coordinates):
1 Lu 0.500 0.500 0.500
2 Li 0.750 0.750 0.750
3 Cu 0.250 0.250 0.250
4 Er 0.000 0.000 0.000

Total DFT energy (no corrections) ... -0.2816 Ry per atom
Spin magnetization ... 0.00 μB/f.u.
Calculated density ... 8.04 Mg/m³
Fermi-level density of states ... 0.8626 states/eV per atom

A relaxed structure of LiErCuPb. Source: Alexandria, functional GGA-PBE.

Cell: 4.796 4.796 4.796 Å, 60.00 60.00 60.00°
Atoms (fractional coordinates):
1 Pb 0.500 0.500 0.500
2 Li 0.750 0.750 0.750
3 Cu 0.250 0.250 0.250
4 Er 0.000 0.000 0.000

Total DFT energy (no corrections) ... -0.2787 Ry per atom
Spin magnetization ... 0.00 μB/f.u.
Calculated density ... 9.47 Mg/m³
Fermi-level density of states ... 0.5750 states/eV per atom

A relaxed structure of LiErCuPd. Source: Alexandria, functional GGA-PBE.

Cell: 4.661 4.661 4.661 Å, 60.00 60.00 60.00°
Atoms (fractional coordinates):
1 Li 0.500 0.500 0.500
2 Cu 0.250 0.250 0.250
3 Pd 0.750 0.750 0.750
4 Er 0.000 0.000 0.000

Total DFT energy (no corrections) ... -0.3190 Ry per atom
Spin magnetization ... 0.00 μB/f.u.
Calculated density ... 7.98 Mg/m³
Fermi-level density of states ... 0.6039 states/eV per atom

A relaxed structure of LiPmErCu. Source: Alexandria, functional GGA-PBE.

Cell: 5.070 5.070 5.070 Å, 60.00 60.00 60.00°
Atoms (fractional coordinates):
1 Pm 0.250 0.250 0.250
2 Li 0.500 0.500 0.500
3 Cu 0.000 0.000 0.000
4 Er 0.750 0.750 0.750

Total DFT energy (no corrections) ... -0.2827 Ry per atom
Spin magnetization ... 0.00 μB/f.u.
Calculated density ... 6.90 Mg/m³
Fermi-level density of states ... 1.1304 states/eV per atom

A relaxed structure of LiPrErCu. Source: Alexandria, functional GGA-PBE.

Cell: 5.114 5.114 5.114 Å, 60.00 60.00 60.00°
Atoms (fractional coordinates):
1 Pr 0.500 0.500 0.500
2 Li 0.750 0.750 0.750
3 Cu 0.250 0.250 0.250
4 Er 0.000 0.000 0.000

Total DFT energy (no corrections) ... -0.2821 Ry per atom
Spin magnetization ... 0.00 μB/f.u.
Calculated density ... 6.65 Mg/m³
Fermi-level density of states ... 1.2744 states/eV per atom

A relaxed structure of LiErCuPt. Source: Alexandria, functional GGA-PBE.

Cell: 4.644 4.644 4.644 Å, 60.00 60.00 60.00°
Atoms (fractional coordinates):
1 Li 0.500 0.500 0.500
2 Cu 0.250 0.250 0.250
3 Pt 0.750 0.750 0.750
4 Er 0.000 0.000 0.000

Total DFT energy (no corrections) ... -0.3472 Ry per atom
Spin magnetization ... 0.00 μB/f.u.
Calculated density ... 10.15 Mg/m³
Fermi-level density of states ... 0.6216 states/eV per atom

A relaxed structure of LiEr2CuPt2. Source: Alexandria, functional GGA-PBE.

Cell: 5.644 5.677 8.166 Å, 110.34 110.22 90.00°
Atoms (fractional coordinates):
1 Li 0.000 0.750 0.000
2 Li 0.000 0.250 0.000
3 Er 0.423 0.170 0.341
4 Er 0.577 0.830 0.659
5 Er 0.082 0.330 0.659
6 Er 0.918 0.670 0.341
7 Cu 0.500 0.750 0.000
8 Cu 0.500 0.250 0.000
9 Pt 0.878 0.126 0.252
10 Pt 0.374 0.626 0.252
11 Pt 0.626 0.374 0.748
12 Pt 0.122 0.874 0.748

Total DFT energy (no corrections) ... -0.3991 Ry per atom
Spin magnetization ... 0.00 μB/f.u.
Calculated density ... 11.58 Mg/m³
Fermi-level density of states ... 0.3769 states/eV per atom

A relaxed structure of LiErCuRh. Source: Alexandria, functional GGA-PBE.

Cell: 4.578 4.578 4.578 Å, 60.00 60.00 60.00°
Atoms (fractional coordinates):
1 Li 0.000 0.000 0.000
2 Rh 0.250 0.250 0.250
3 Cu 0.750 0.750 0.750
4 Er 0.500 0.500 0.500

Total DFT energy (no corrections) ... -0.3545 Ry per atom
Spin magnetization ... 0.00 μB/f.u.
Calculated density ... 8.34 Mg/m³
Fermi-level density of states ... 0.2207 states/eV per atom

A relaxed structure of LiErCuRu. Source: Alexandria, functional GGA-PBE.

Cell: 4.533 4.533 4.533 Å, 60.00 60.00 60.00°
Atoms (fractional coordinates):
1 Ru 0.250 0.250 0.250
2 Li 0.750 0.750 0.750
3 Cu 0.500 0.500 0.500
4 Er 0.000 0.000 0.000

Total DFT energy (no corrections) ... -0.3634 Ry per atom
Spin magnetization ... 0.00 μB/f.u.
Calculated density ... 8.54 Mg/m³
Fermi-level density of states ... 0.6779 states/eV per atom

A relaxed structure of LiEr2CuS4. Source: Alexandria, functional GGA-PBE.

Cell: 3.844 6.761 6.473 Å, 112.75 90.00 90.00°
Atoms (fractional coordinates):
1 Li 0.500 0.500 0.000
2 Er 0.500 0.000 0.500
3 Er 0.000 0.500 0.500
4 Cu 0.000 0.000 0.000
5 S 0.500 0.235 0.238
6 S 0.500 0.765 0.762
7 S 0.000 0.261 0.752
8 S 0.000 0.739 0.248

Total DFT energy (no corrections) ... -0.4033 Ry per atom
Spin magnetization ... 0.00 μB/f.u.
Calculated density ... 5.71 Mg/m³
Formation energy without anion corrections ... -1.532 eV/atom

Repeat the fourth record exactly.
A relaxed structure of LiErCuPb. Source: Alexandria, functional GGA-PBE.

Cell: 4.796 4.796 4.796 Å, 60.00 60.00 60.00°
Atoms (fractional coordinates):
1 Pb 0.500 0.500 0.500
2 Li 0.750 0.750 0.750
3 Cu 0.250 0.250 0.250
4 Er 0.000 0.000 0.000

Total DFT energy (no corrections) ... -0.2787 Ry per atom
Spin magnetization ... 0.00 μB/f.u.
Calculated density ... 9.47 Mg/m³
Fermi-level density of states ... 0.5750 states/eV per atom